PaCdHg4: relaxed, PBE.

The structure belongs to space group C2/m (No. 12); the cell edges are 12.9201, 3.2826 and 7.1412 Å and the angles 90.00°, 105.91° and 90.00°. The distinct sites, in fractional coordinates, are Pa at (0.0000, 0.0000, 0.0000), Cd at (0.0000, 0.0000, 0.5000), Hg at (0.1667, 0.5000, 0.3385) and Hg at (0.1671, 0.5000, 0.8258).

As for the total moment: 2.5 μB/cell. Its energy of formation is 65 meV/atom. The calculation puts the energy above the lowest structure with this stoichiometry at 18 meV per atom.


PaCd2Hg2: relaxed, PBE.

The structure belongs to space group I4/mmm (No. 139); the cell edges are 4.3428, 4.3428 and 13.1787 Å and the angles 90.00°, 90.00° and 90.00°. The distinct sites, in fractional coordinates, are Pa at (0.0000, 0.0000, 0.0000), Cd at (0.0000, 0.5000, 0.2500) and Hg at (0.0000, 0.0000, 0.3944).

As for the total moment: 4.0 μB/cell. Its energy of formation is 187 meV/atom.


PaCd5Hg6: relaxed, PBE.

The structure belongs to space group C2/m (No. 12); the cell edges are 8.8686, 16.1578 and 4.8327 Å and the angles 90.00°, 122.80° and 90.00°. The distinct sites, in fractional coordinates, are Pa at (0.0000, 0.0000, 0.0000), Cd at (0.0000, 0.1581, 0.5000), Cd at (0.0000, 0.3009, 0.0000), Cd at (0.0000, 0.5000, 0.5000), Hg at (0.2282, 0.5000, 0.2287) and Hg at (0.2305, 0.3429, 0.7319).

As for the total moment: 2.2 μB/cell. Its energy of formation is 31 meV/atom.